1.
# HfPaCu2 GGA-PBE relaxed
# V	299.3	Å³ per cell
# D(E_F)	1.769	states/eV per atom
# density	11.908	Mg/m³
# ΔE_f	0.121	eV per atom
# E_tot	-108.64	eV for the cell shown
# distance to the lowest polymorph of the same formula	10.4	kJ per mole of atoms
data_HfPaCu2
_chemical_formula_sum 'Hf4 Pa4 Cu8'
_cell_length_a 6.6893
_cell_length_b 6.6893
_cell_length_c 6.6893
_cell_angle_alpha 90.00
_cell_angle_beta 90.00
_cell_angle_gamma 90.00
_symmetry_space_group_name_H-M 'F m -3 m'
_symmetry_Int_Tables_number 225
_symmetry_space_group_name_Hall '-F 4 2 3'
loop_
_atom_site_label
_atom_site_type_symbol
_atom_site_fract_x
_atom_site_fract_y
_atom_site_fract_z
Hf1 Hf 0.0000 0.0000 0.0000
Pa1 Pa 0.0000 0.0000 0.5000
Cu1 Cu 0.2500 0.2500 0.2500



2.
# Dy3ThIn4 GGA-PBE relaxed
# V	434.6	Å³ per cell
# D(E_F)	0.580	states/eV per atom
# density	9.009	Mg/m³
# ΔE_f	-0.398	eV per atom
# E_tot	-70.72	eV for the cell shown
data_Dy3ThIn4
_chemical_formula_sum 'Dy6 Th2 In8'
_cell_length_a 10.8347
_cell_length_b 7.1955
_cell_length_c 5.5742
_cell_angle_alpha 90.00
_cell_angle_beta 90.00
_cell_angle_gamma 90.00
_symmetry_space_group_name_H-M 'P m m a'
_symmetry_Int_Tables_number 51
loop_
_symmetry_equiv_pos_as_xyz
'x,y,z'
'-x,-y,-z'
'-x+1/2,-y,z'
'x+1/2,y,-z'
'x+1/2,-y,-z'
'-x+1/2,y,z'
'-x,y,-z'
'x,-y,z'
loop_
_atom_site_label
_atom_site_type_symbol
_atom_site_fract_x
_atom_site_fract_y
_atom_site_fract_z
Dy1 Dy 0.0000 0.0000 0.0000
Dy2 Dy 0.2500 0.0000 0.4091
Dy3 Dy 0.2500 0.5000 0.4144
Th1 Th 0.0000 0.5000 0.0000
In1 In 0.0000 0.2390 0.5000
In2 In 0.2500 0.2402 0.9026



3.
# BeAs2PtPb GGA-PBE relaxed
# V	98.8	Å³ per cell
# D(E_F)	0.703	states/eV per atom
# density	9.434	Mg/m³
# ΔE_f	0.297	eV per atom
# E_tot	-21.29	eV for the cell shown
data_BeAs2PtPb
_chemical_formula_sum 'Be1 As2 Pt1 Pb1'
_cell_length_a 4.7413
_cell_length_b 4.7413
_cell_length_c 4.3935
_cell_angle_alpha 90.00
_cell_angle_beta 90.00
_cell_angle_gamma 90.00
_symmetry_space_group_name_H-M 'P 4/m m m'
_symmetry_Int_Tables_number 123
_symmetry_space_group_name_Hall '-P 4 2'
loop_
_atom_site_label
_atom_site_type_symbol
_atom_site_fract_x
_atom_site_fract_y
_atom_site_fract_z
Be1 Be 0.0000 0.0000 0.0000
As1 As 0.0000 0.5000 0.0000
Pt1 Pt 0.0000 0.0000 0.5000
Pb1 Pb 0.5000 0.5000 0.5000



4.
# Ce2PrAl GGA-PBE relaxed
# V	108.7	Å³ per cell
# D(E_F)	2.429	states/eV per atom
# density	6.847	Mg/m³
# ΔE_f	-0.123	eV per atom
# E_tot	-20.88	eV for the cell shown
# distance to the lowest polymorph of the same formula	0.0	kJ per mole of atoms
data_Ce2PrAl
_chemical_formula_sum 'Ce2 Pr1 Al1'
_cell_length_a 4.6822
_cell_length_b 4.6822
_cell_length_c 4.9573
_cell_angle_alpha 90.00
_cell_angle_beta 90.00
_cell_angle_gamma 90.00
_symmetry_space_group_name_H-M 'P 4/m m m'
_symmetry_Int_Tables_number 123
_symmetry_space_group_name_Hall '-P 4 2'
loop_
_atom_site_label
_atom_site_type_symbol
_atom_site_fract_x
_atom_site_fract_y
_atom_site_fract_z
Ce1 Ce 0.0000 0.5000 0.0000
Pr1 Pr 0.0000 0.0000 0.5000
Al1 Al 0.5000 0.5000 0.5000



5.
# La4Dy2Th GGA-PBE relaxed
# V	734.9	Å³ per cell
# D(E_F)	1.342	states/eV per atom
# density	7.543	Mg/m³
# ΔE_f	0.084	eV per atom
# E_tot	-107.24	eV for the cell shown
# distance to the lowest polymorph of the same formula	0.0	kJ per mole of atoms
data_La4Dy2Th
_chemical_formula_sum 'La12 Dy6 Th3'
_cell_length_a 3.6020
_cell_length_b 3.6020
_cell_length_c 65.4023
_cell_angle_alpha 90.00
_cell_angle_beta 90.00
_cell_angle_gamma 120.00
_symmetry_space_group_name_H-M 'R -3 m'
_symmetry_Int_Tables_number 166
_symmetry_space_group_name_Hall '-R 3 2"'
loop_
_atom_site_label
_atom_site_type_symbol
_atom_site_fract_x
_atom_site_fract_y
_atom_site_fract_z
La1 La 0.0000 0.0000 0.1408
La2 La 0.0000 0.0000 0.2891
Dy1 Dy 0.0000 0.0000 0.2363
Th1 Th 0.0000 0.0000 0.0000



6.
# Dy3FeC3 GGA-PBE relaxed
# V	440.1	Å³ per cell
# D(E_F)	0.575	states/eV per atom
# density	8.744	Mg/m³
# ΔE_f	-0.266	eV per atom
# E_tot	-207.22	eV for the cell shown
data_Dy3FeC3
_chemical_formula_sum 'Dy12 Fe4 C12'
_cell_length_a 8.4474
_cell_length_b 10.2673
_cell_length_c 5.0742
_cell_angle_alpha 90.00
_cell_angle_beta 90.00
_cell_angle_gamma 90.00
_symmetry_space_group_name_H-M 'C m c m'
_symmetry_Int_Tables_number 63
_symmetry_space_group_name_Hall '-C 2c 2'
loop_
_atom_site_label
_atom_site_type_symbol
_atom_site_fract_x
_atom_site_fract_y
_atom_site_fract_z
Dy1 Dy 0.0000 0.1078 0.2500
Dy2 Dy 0.2124 0.3787 0.2500
Fe1 Fe 0.0000 0.3014 0.7500
C1 C 0.0000 0.1236 0.7500
C2 C 0.1973 0.3699 0.7500